# 1
Computed, not measured: an optimized crystal structure of CaPtAu2 at the PBE-GGA level of DFT.

abc: 3.1645 4.2423 5.7475
angles: 90.00 90.00 90.00
Fractional coordinates of all 4 atoms:
Ca (0.0000, 0.0000, 0.0000)
Pt (0.0000, 0.0000, 0.5000)
Au (0.5000, 0.5000, 0.2588)
Au (0.5000, 0.5000, 0.7412)

Computed properties:
The offset from the most stable computed form is 0.149 eV per atom. The energy of formation is -0.421 eV/atom. The space group is Pmmm.

=====

# 2
Computed, not measured: an optimized crystal structure of HfGaSe4 at the PBE-GGA level of DFT.

abc: 6.8673 6.8673 6.8417
angles: 90.00 90.00 90.00
Fractional coordinates of all 12 atoms:
Hf (0.0000, 0.0000, 0.0000)
Hf (0.0000, 0.0000, 0.5000)
Ga (0.0000, 0.5000, 0.2500)
Ga (0.5000, 0.0000, 0.7500)
Se (0.2403, 0.2500, 0.3494)
Se (0.2403, 0.7500, 0.1506)
Se (0.2500, 0.2403, 0.8494)
Se (0.2500, 0.7597, 0.6506)
Se (0.7500, 0.2403, 0.6506)
Se (0.7500, 0.7597, 0.8494)
Se (0.7597, 0.2500, 0.1506)
Se (0.7597, 0.7500, 0.3494)

Computed properties:
The calculation puts the uncorrected formation energy at -3.711 eV/f.u. The space group is P-42c.

=====

# 3
Computed, not measured: an optimized crystal structure of Ac2Nd9Ho at the PBE-GGA level of DFT.

abc: 6.1630 6.1630 11.4954
angles: 90.00 90.00 90.00
Fractional coordinates of all 12 atoms:
Ac (0.0000, 0.0000, 0.1698)
Ac (0.0000, 0.0000, 0.8302)
Nd (0.0000, 0.5000, 0.0000)
Nd (0.0000, 0.5000, 0.3424)
Nd (0.0000, 0.5000, 0.6576)
Nd (0.5000, 0.0000, 0.0000)
Nd (0.5000, 0.0000, 0.3424)
Nd (0.5000, 0.0000, 0.6576)
Nd (0.5000, 0.5000, 0.1627)
Nd (0.5000, 0.5000, 0.5000)
Nd (0.5000, 0.5000, 0.8373)
Ho (0.0000, 0.0000, 0.5000)

Computed properties:
The energy of formation is 0.116 eV/atom. The space group is P4/mmm.

=====

# 4
Computed, not measured: an optimized crystal structure of CuAsI at the PBE-GGA level of DFT.

abc: 6.8891 6.8891 6.9650
angles: 114.69 114.69 32.63
Fractional coordinates of all 6 atoms:
Cu (0.1163, 0.1163, 0.2496)
Cu (0.8837, 0.8837, 0.7504)
As (0.3130, 0.3130, 0.4778)
As (0.6870, 0.6870, 0.5222)
I (0.0939, 0.0939, 0.8507)
I (0.9061, 0.9061, 0.1493)

Computed properties:
The calculation puts the uncorrected formation energy at 0.006 eV/f.u. The offset from the most stable computed form is 0.000 eV per atom. The space group is C2/m.

=====

VASP energy values, unit eV for the cell shown, following the record order: -16.28; -61.26; -54.31; -20.58.